Record 1
Density functional theory data (GGA-PBE) for crystalline Gd3Al5S12 at its relaxed geometry.

Lattice parameters (Å, degrees): 14.9827 14.9827 14.9827 90.00 90.00 90.00
Space group Ia-3d (No. 230)
Unique sites:
Gd: 0.0000 0.2500 0.1250 x24
Al: 0.0000 0.0000 0.0000 x16
Al: 0.0000 0.2500 0.3750 x24
S: 0.0286 0.0570 0.6489 x96

Summary:
Formation energy (no corrections)   -29.2 eV/f.u.
Theoretical density   3.92 g/cm3



Record 2
Density functional theory data (GGA-PBE) for crystalline Gd3AlVS7 at its relaxed geometry.

Lattice parameters (Å, degrees): 9.7425 9.7425 6.1507 90.00 90.00 120.00
Space group P6_3 (No. 173)
Unique sites:
Gd: 0.1529 0.7745 0.0000 x6
Al: 0.3333 0.6667 0.5770 x2
V: 0.0000 0.0000 0.1652 x2
S: 0.0918 0.5200 0.7274 x6
S: 0.0978 0.8672 0.4126 x6
S: 0.3333 0.6667 0.2132 x2

Summary:
Formation energy (no corrections)   -20.3 eV/f.u.
Theoretical density   5.09 g/cm3



Record 3
Density functional theory data (GGA-PBE) for crystalline GdAl2Sb at its relaxed geometry.

Lattice parameters (Å, degrees): 4.4730 4.4730 4.4423 90.00 90.00 90.00
Space group P4/mmm (No. 123)
Unique sites:
Gd: 0.0000 0.0000 0.0000 x1
Al: 0.0000 0.5000 0.5000 x2
Sb: 0.5000 0.5000 0.0000 x1

Summary:
Formation energy (no corrections)   -1.6 eV/f.u.
Theoretical density   6.22 g/cm3



Record 4
Density functional theory data (GGA-PBE) for crystalline GdAl4Sb at its relaxed geometry.

Lattice parameters (Å, degrees): 7.8791 7.8791 7.8791 90.00 90.00 90.00
Space group F-43m (No. 216)
Unique sites:
Gd: 0.0000 0.0000 0.0000 x4
Al: 0.1248 0.1248 0.6248 x16
Sb: 0.2500 0.2500 0.2500 x4

Summary:
Formation energy (no corrections)   -1.2 eV/f.u.
Theoretical density   5.25 g/cm3



Record 5
Density functional theory data (GGA-PBE) for crystalline GdAlSb at its relaxed geometry.

Lattice parameters (Å, degrees): 6.3417 6.3366 8.0405 90.00 113.09 90.00
Space group C2/m (No. 12)
Unique sites:
Gd: 0.1451 0.0000 0.2913 x4
Al: 0.2500 0.2500 0.0000 x4
Sb: 0.1419 0.5000 0.2850 x4

Summary:
Formation energy (no corrections)   -2.0 eV/f.u.
Theoretical density   6.84 g/cm3



Record 6
Density functional theory data (GGA-PBE) for crystalline Gd2ScAl at its relaxed geometry.

Lattice parameters (Å, degrees): 4.6947 4.6947 4.6478 90.00 90.00 90.00
Space group P4/mmm (No. 123)
Unique sites:
Gd: 0.0000 0.5000 0.0000 x2
Sc: 0.0000 0.0000 0.5000 x1
Al: 0.5000 0.5000 0.5000 x1

Summary:
DFT formation energy   -0.197 eV/atom
Theoretical density   6.26 g/cm3
Distance to the lowest polymorph of the same formula   0.000 eV/atom